1.
# PBE-GGA CuN2O, optimized geometry
data_CuN2O
_chemical_formula_sum 'Cu1 N2 O1'
_symmetry_space_group_name_H-M 'P 1'
_symmetry_Int_Tables_number 1
_cell_length_a 6.101
_cell_length_b 6.101
_cell_length_c 6.101
_cell_angle_alpha 25.84
_cell_angle_beta 25.84
_cell_angle_gamma 25.84
loop_
_symmetry_equiv_pos_as_xyz
'x,y,z'
loop_
_atom_site_label
_atom_site_type_symbol
_atom_site_fract_x
_atom_site_fract_y
_atom_site_fract_z
O1 O 0.500 0.500 0.500
Cu1 Cu 0.000 0.000 0.000
N1 N 0.897 0.897 0.897
N2 N 0.103 0.103 0.103
# **DFT total energy**: -16.96 eV per cell
# **D(E_F)**: 0.997 states/eV per atom
# **Magnetic moment**: 0.00 Bohr magnetons per cell
# **ΔE_f (raw)**: 2186 meV per atom

---

2.
# PBE-GGA Li8CaCd6, optimized geometry
data_Li8CaCd6
_chemical_formula_sum 'Li8 Ca1 Cd6'
_symmetry_space_group_name_H-M 'P 1'
_symmetry_Int_Tables_number 1
_cell_length_a 7.462
_cell_length_b 7.462
_cell_length_c 7.879
_cell_angle_alpha 61.73
_cell_angle_beta 61.73
_cell_angle_gamma 60.00
loop_
_symmetry_equiv_pos_as_xyz
'x,y,z'
loop_
_atom_site_label
_atom_site_type_symbol
_atom_site_fract_x
_atom_site_fract_y
_atom_site_fract_z
Li1 Li 0.605 0.131 0.400
Li2 Li 0.869 0.136 0.600
Li3 Li 0.136 0.395 0.600
Li4 Li 0.735 0.735 0.796
Li5 Li 0.265 0.265 0.204
Li6 Li 0.864 0.605 0.400
Li7 Li 0.131 0.864 0.400
Li8 Li 0.395 0.869 0.600
Ca1 Ca 0.000 0.000 0.000
Cd1 Cd 0.418 0.140 0.824
Cd2 Cd 0.860 0.382 0.176
Cd3 Cd 0.382 0.582 0.176
Cd4 Cd 0.618 0.418 0.824
Cd5 Cd 0.140 0.618 0.824
Cd6 Cd 0.582 0.860 0.176
# **DFT total energy**: -24.73 eV per cell
# **D(E_F)**: 0.487 states/eV per atom
# **Magnetic moment**: 0.00 Bohr magnetons per cell
# **E_form**: -1.923 eV/f.u.

---

3.
# PBE-GGA YZn3Pd3, optimized geometry
data_YZn3Pd3
_chemical_formula_sum 'Y2 Zn6 Pd6'
_symmetry_space_group_name_H-M 'P 1'
_symmetry_Int_Tables_number 1
_cell_length_a 6.768
_cell_length_b 6.768
_cell_length_c 6.768
_cell_angle_alpha 90.00
_cell_angle_beta 90.00
_cell_angle_gamma 90.00
loop_
_symmetry_equiv_pos_as_xyz
'x,y,z'
loop_
_atom_site_label
_atom_site_type_symbol
_atom_site_fract_x
_atom_site_fract_y
_atom_site_fract_z
Y1 Y 0.500 0.500 0.500
Y2 Y 0.000 0.000 0.000
Zn1 Zn 0.000 0.250 0.500
Zn2 Zn 0.000 0.750 0.500
Zn3 Zn 0.500 0.000 0.750
Zn4 Zn 0.750 0.500 0.000
Zn5 Zn 0.500 0.000 0.250
Zn6 Zn 0.250 0.500 0.000
Pd1 Pd 0.250 0.000 0.500
Pd2 Pd 0.000 0.500 0.250
Pd3 Pd 0.500 0.750 0.000
Pd4 Pd 0.750 0.000 0.500
Pd5 Pd 0.000 0.500 0.750
Pd6 Pd 0.500 0.250 0.000
# **DFT total energy**: -52.13 eV per cell
# **Energy above the most stable polymorph in this dataset**: 500 meV/atom
# **D(E_F)**: 0.455 states/eV per atom
# **Magnetic moment**: 0.00 Bohr magnetons per cell
# **E_form**: -0.200 eV/f.u.

---

4.
# PBE-GGA PAuF2, optimized geometry
data_PAuF2
_chemical_formula_sum 'P1 Au1 F2'
_symmetry_space_group_name_H-M 'P 1'
_symmetry_Int_Tables_number 1
_cell_length_a 10.024
_cell_length_b 10.024
_cell_length_c 10.024
_cell_angle_alpha 15.68
_cell_angle_beta 15.68
_cell_angle_gamma 15.68
loop_
_symmetry_equiv_pos_as_xyz
'x,y,z'
loop_
_atom_site_label
_atom_site_type_symbol
_atom_site_fract_x
_atom_site_fract_y
_atom_site_fract_z
P1 P 0.000 0.000 0.000
Au1 Au 0.500 0.500 0.500
F1 F 0.944 0.944 0.944
F2 F 0.056 0.056 0.056
# **DFT total energy**: -16.67 eV per cell
# **Energy above the most stable polymorph in this dataset**: 0 meV/atom
# **D(E_F)**: 0.130 states/eV per atom
# **Magnetic moment**: 0.00 Bohr magnetons per cell
# **ΔE_f (raw)**: -1059 meV per atom

---

5.
# PBE-GGA TaInP2, optimized geometry
data_TaInP2
_chemical_formula_sum 'Ta1 In1 P2'
_symmetry_space_group_name_H-M 'P 1'
_symmetry_Int_Tables_number 1
_cell_length_a 6.826
_cell_length_b 6.826
_cell_length_c 6.826
_cell_angle_alpha 151.73
_cell_angle_beta 149.91
_cell_angle_gamma 41.76
loop_
_symmetry_equiv_pos_as_xyz
'x,y,z'
loop_
_atom_site_label
_atom_site_type_symbol
_atom_site_fract_x
_atom_site_fract_y
_atom_site_fract_z
In1 In 0.294 0.794 0.500
P1 P 0.975 0.975 0.000
P2 P 0.689 0.189 0.500
Ta1 Ta 0.542 0.542 0.000
# **DFT total energy**: -26.11 eV per cell
# **D(E_F)**: 0.403 states/eV per atom
# **Magnetic moment**: 0.00 Bohr magnetons per cell
# **E_form**: -0.697 eV/f.u.

---

6.
# PBE-GGA BeAgSn, optimized geometry
data_BeAgSn
_chemical_formula_sum 'Be1 Ag1 Sn1'
_symmetry_space_group_name_H-M 'P 1'
_symmetry_Int_Tables_number 1
_cell_length_a 4.261
_cell_length_b 4.261
_cell_length_c 4.261
_cell_angle_alpha 60.00
_cell_angle_beta 60.00
_cell_angle_gamma 60.00
loop_
_symmetry_equiv_pos_as_xyz
'x,y,z'
loop_
_atom_site_label
_atom_site_type_symbol
_atom_site_fract_x
_atom_site_fract_y
_atom_site_fract_z
Be1 Be 0.250 0.250 0.250
Sn1 Sn 0.500 0.500 0.500
Ag1 Ag 0.000 0.000 0.000
# **DFT total energy**: -10.00 eV per cell
# **D(E_F)**: 0.775 states/eV per atom
# **Magnetic moment**: 0.00 Bohr magnetons per cell
# **E_form**: 0.576 eV/f.u.

---

7.
# PBE-GGA Na4Tl8Au, optimized geometry
data_Na4Tl8Au
_chemical_formula_sum 'Na4 Tl8 Au1'
_symmetry_space_group_name_H-M 'P 1'
_symmetry_Int_Tables_number 1
_cell_length_a 4.908
_cell_length_b 4.828
_cell_length_c 16.190
_cell_angle_alpha 90.00
_cell_angle_beta 90.00
_cell_angle_gamma 90.00
loop_
_symmetry_equiv_pos_as_xyz
'x,y,z'
loop_
_atom_site_label
_atom_site_type_symbol
_atom_site_fract_x
_atom_site_fract_y
_atom_site_fract_z
Na1 Na 0.000 0.000 0.067
Na2 Na 0.000 0.500 0.618
Na3 Na 0.500 0.500 0.379
Na4 Na 0.500 0.000 0.909
Tl1 Tl 0.000 0.000 0.482
Tl2 Tl 0.000 0.500 0.915
Tl3 Tl 0.500 0.500 0.063
Tl4 Tl 0.500 0.000 0.612
Tl5 Tl 0.000 0.500 0.207
Tl6 Tl 0.000 0.000 0.763
Tl7 Tl 0.500 0.000 0.212
Tl8 Tl 0.500 0.500 0.763
Au1 Au 0.000 0.000 0.312
# **DFT total energy**: -28.54 eV per cell
# **D(E_F)**: 0.409 states/eV per atom
# **Magnetic moment**: 0.00 Bohr magnetons per cell
# **E_form**: -1.059 eV/f.u.

---

8.
# PBE-GGA LaEuTeI, optimized geometry
data_LaEuTeI
_chemical_formula_sum 'La1 Eu1 Te1 I1'
_symmetry_space_group_name_H-M 'P 1'
_symmetry_Int_Tables_number 1
_cell_length_a 5.612
_cell_length_b 5.612
_cell_length_c 5.612
_cell_angle_alpha 60.00
_cell_angle_beta 60.00
_cell_angle_gamma 60.00
loop_
_symmetry_equiv_pos_as_xyz
'x,y,z'
loop_
_atom_site_label
_atom_site_type_symbol
_atom_site_fract_x
_atom_site_fract_y
_atom_site_fract_z
Eu1 Eu 0.000 0.000 0.000
I1 I 0.750 0.750 0.750
Te1 Te 0.250 0.250 0.250
La1 La 0.500 0.500 0.500
# **DFT total energy**: -24.85 eV per cell
# **D(E_F)**: 0.652 states/eV per atom
# **Magnetic moment**: 8.45 Bohr magnetons per cell
# **ΔE_f (raw)**: -1239 meV per atom

---

Which value of DFT total energy does entry 6 give? -10.00 eV per cell